Version 1
The following is a DFT calculation (PBE) of a relaxed structure of Ba4Tl2In.

Values from the calculation:
**DOS at the Fermi energy**: 24.87 states/eV/cell
**SG**: I4/mmm, No. 139
**Calculated density**: 4.68 g cm⁻³
**M_tot**: 0.1895 μB/atom

Cell lengths 6.6711, 6.6711, 17.1011 Å; angles 90.00, 90.00, 90.00 degrees
Closest atoms and distances in Å follow each position.
Element x y z (fractional)
Ba 0.0000 0.0000 0.2002  1 In 3.42, 1 Tl 3.47
Ba 0.0000 0.0000 0.7998  1 In 3.42, 1 Tl 3.47
Ba 0.0000 0.5000 0.0000  2 In 3.34, 4 Tl 3.72
Ba 0.0000 0.5000 0.5000  2 In 3.34, 4 Tl 3.72
Ba 0.5000 0.0000 0.0000  2 In 3.34, 4 Tl 3.72
Ba 0.5000 0.0000 0.5000  2 In 3.34, 4 Tl 3.72
Ba 0.5000 0.5000 0.2998  1 In 3.42, 1 Tl 3.47
Ba 0.5000 0.5000 0.7002  1 In 3.42, 1 Tl 3.47
Tl 0.0000 0.0000 0.4032  1 Tl 3.31, 1 Ba 3.47
Tl 0.0000 0.0000 0.5968  1 Tl 3.31, 1 Ba 3.47
Tl 0.5000 0.5000 0.0968  1 Tl 3.31, 1 Ba 3.47
Tl 0.5000 0.5000 0.9032  1 Tl 3.31, 1 Ba 3.47
In 0.0000 0.0000 0.0000  6 Ba 3.34-3.42
In 0.5000 0.5000 0.5000  6 Ba 3.34-3.42

Version 2
The following is a DFT calculation (PBE) of a relaxed structure of Ba4Tl2In.

Values from the calculation:
**DOS at the Fermi energy**: 14.01 states/eV/cell
**SG**: C2/m, No. 12
**Calculated density**: 5.72 g cm⁻³
**M_tot**: 0.0000 μB/atom

Cell lengths 9.5315, 9.5315, 8.6026 Å; angles 116.82, 116.82, 78.23 degrees
Closest atoms and distances in Å follow each position.
Element x y z (fractional)
Ba 0.2484 0.2484 0.2464  2 In 3.64-3.77, 4 Tl 3.65-3.80
Ba 0.2478 0.7522 0.0000  2 In 3.70, 4 Tl 3.70-3.71
Ba 0.2495 0.2495 0.7535  2 In 3.61-3.73, 4 Tl 3.62-3.76
Ba 0.2504 0.7496 0.5000  2 In 3.68, 4 Tl 3.70-3.71
Ba 0.7496 0.2504 0.5000  2 In 3.68, 4 Tl 3.70-3.71
Ba 0.7505 0.7505 0.2465  2 In 3.61-3.73, 4 Tl 3.62-3.76
Ba 0.7522 0.2478 0.0000  2 In 3.70, 4 Tl 3.70-3.71
Ba 0.7516 0.7516 0.7536  2 In 3.64-3.77, 4 Tl 3.65-3.80
Tl 0.0000 0.5000 0.5000  8 Ba 3.70-3.72
Tl 0.4911 0.4911 0.7434  8 Ba 3.62-3.80
Tl 0.5000 0.0000 0.5000  8 Ba 3.70-3.72
Tl 0.5089 0.5089 0.2566  8 Ba 3.62-3.80
In 0.0081 0.0081 0.2623  8 Ba 3.61-3.77
In 0.9919 0.9919 0.7377  8 Ba 3.61-3.77

Version 3
The following is a DFT calculation (PBE) of a relaxed structure of Ba4Tl2In.

Values from the calculation:
**DOS at the Fermi energy**: 6.95 states/eV/cell
**SG**: R-3m, No. 166
**Calculated density**: 5.72 g cm⁻³
**M_tot**: 0.0000 μB/atom

Cell lengths 10.4149, 10.4149, 10.4149 Å; angles 33.79, 33.79, 33.79 degrees
Closest atoms and distances in Å follow each position.
Element x y z (fractional)
Ba 0.1239 0.1239 0.1239  1 In 3.65, 4 Tl 3.71-3.77
Ba 0.3756 0.3756 0.3756  4 Tl 3.64-3.68, 3 In 3.71
Ba 0.6244 0.6244 0.6244  4 Tl 3.64-3.68, 3 In 3.71
Ba 0.8761 0.8761 0.8761  1 In 3.65, 4 Tl 3.71-3.77
Tl 0.2518 0.2518 0.2518  8 Ba 3.64-3.77
Tl 0.7482 0.7482 0.7482  8 Ba 3.64-3.77
In 0.0000 0.0000 0.0000  8 Ba 3.65-3.71

version 2 wins, 12 meV/atom ahead of the next structure.

Version 1
The following is a DFT calculation (PBE) of a relaxed structure of Ba2Tl3In.

Values from the calculation:
**DOS at the Fermi energy**: 9.74 states/eV/cell
**SG**: Fmmm, No. 69
**Calculated density**: 7.80 g cm⁻³
**M_tot**: 0.0000 μB/atom

Cell lengths 10.8526, 10.2839, 6.8536 Å; angles 75.64, 66.64, 37.72 degrees
Closest atoms and distances in Å follow each position.
Element x y z (fractional)
Ba 0.2446 0.7554 0.7554  10 Tl 3.77-3.78, 2 In 3.78, 1 Ba 4.09
Ba 0.2500 0.2500 0.2500  8 Tl 3.75, 4 In 3.77, 2 Ba 4.18
Ba 0.7500 0.7500 0.7500  8 Tl 3.75, 4 In 3.77, 2 Ba 4.18
Ba 0.7554 0.2446 0.2446  10 Tl 3.77-3.78, 2 In 3.78, 1 Ba 4.09
Tl 0.1692 0.1692 0.8308  1 In 3.10, 2 Tl 3.19
Tl 0.1701 0.6614 0.3386  1 In 3.08, 2 Tl 3.17-3.19
Tl 0.3386 0.8299 0.1701  1 In 3.08, 2 Tl 3.17-3.19
Tl 0.6614 0.1701 0.8299  1 In 3.08, 2 Tl 3.17-3.19
Tl 0.8299 0.3386 0.6614  1 In 3.08, 2 Tl 3.17-3.19
Tl 0.8308 0.8308 0.1692  1 In 3.10, 2 Tl 3.19
In 0.3340 0.3340 0.6660  3 Tl 3.08-3.10
In 0.6660 0.6660 0.3340  3 Tl 3.08-3.10

Version 2
The following is a DFT calculation (PBE) of a relaxed structure of Ba2Tl3In.

Values from the calculation:
**DOS at the Fermi energy**: 4.28 states/eV/cell
**SG**: Cm, No. 8
**Calculated density**: 7.92 g cm⁻³
**M_tot**: 0.0000 μB/atom

Cell lengths 12.4148, 5.4217, 8.6300 Å; angles 90.00, 133.65, 90.00 degrees
Closest atoms and distances in Å follow each position.
Element x y z (fractional)
Ba 0.0000 0.0000 0.0000  9 Tl 3.62-4.01, 3 In 3.69-3.76
Ba 0.0868 0.0000 0.5864  9 Tl 3.65-4.02, 3 In 3.77-3.95
Ba 0.5000 0.5000 0.0000  9 Tl 3.62-4.01, 3 In 3.69-3.76
Ba 0.5868 0.5000 0.5864  9 Tl 3.65-4.02, 3 In 3.77-3.95
Tl 0.2055 0.5000 0.0256  3 Tl 3.15-3.18, 1 In 3.20
Tl 0.3781 0.0000 0.5608  2 In 3.11, 2 Tl 3.18-3.27
Tl 0.3843 0.0000 0.1876  1 In 3.06, 3 Tl 3.15-3.27
Tl 0.7055 0.0000 0.0256  3 Tl 3.15-3.18, 1 In 3.20
Tl 0.8781 0.5000 0.5608  2 In 3.11, 2 Tl 3.18-3.27
Tl 0.8843 0.5000 0.1876  1 In 3.06, 3 Tl 3.15-3.27
In 0.2077 0.5000 0.3985  4 Tl 3.06-3.20
In 0.7077 0.0000 0.3985  4 Tl 3.06-3.20

version 2 wins, 59 meV/atom ahead of the next structure.

Version 1
The following is a DFT calculation (PBE) of a relaxed structure of BaTlIn4.

Values from the calculation:
**DOS at the Fermi energy**: 3.95 states/eV/cell
**SG**: F-43m, No. 216
**Calculated density**: 7.15 g cm⁻³
**M_tot**: 0.0000 μB/atom

Cell lengths 6.4073, 6.4073, 6.4073 Å; angles 60.00, 60.00, 60.00 degrees
Closest atoms and distances in Å follow each position.
Element x y z (fractional)
Ba 0.0000 0.0000 0.0000  12 In 3.76, 4 Tl 3.92
Tl 0.2500 0.2500 0.2500  12 In 3.76, 4 Ba 3.92
In 0.1265 0.6245 0.6245  6 In 3.19-3.22
In 0.6245 0.1265 0.6245  6 In 3.19-3.22
In 0.6245 0.6245 0.1265  6 In 3.19-3.22
In 0.6245 0.6245 0.6245  6 In 3.19-3.22

Version 2
The following is a DFT calculation (PBE) of a relaxed structure of BaTlIn4.

Values from the calculation:
**DOS at the Fermi energy**: 5.16 states/eV/cell
**SG**: Cmcm, No. 63
**Calculated density**: 6.67 g cm⁻³
**M_tot**: 0.0000 μB/atom

Cell lengths 9.6426, 9.6426, 7.7505 Å; angles 90.00, 90.00, 146.38 degrees
Closest atoms and distances in Å follow each position.
Element x y z (fractional)
Ba 0.1104 0.8896 0.7500  3 In 3.47-3.60
Ba 0.8896 0.1104 0.2500  3 In 3.47-3.60
Tl 0.3520 0.6480 0.7500  6 In 3.08-3.35
Tl 0.6480 0.3520 0.2500  6 In 3.08-3.35
In 0.0777 0.9223 0.2500  2 Tl 3.08
In 0.2525 0.7475 0.0684  3 In 2.81-2.99, 1 Tl 3.08
In 0.2525 0.7475 0.4316  3 In 2.81-2.99, 1 Tl 3.08
In 0.5000 0.5000 0.0000  2 Tl 3.35, 4 In 3.69
In 0.5000 0.5000 0.5000  2 Tl 3.35, 4 In 3.69
In 0.7475 0.2525 0.5684  3 In 2.81-2.99, 1 Tl 3.08
In 0.7475 0.2525 0.9316  3 In 2.81-2.99, 1 Tl 3.08
In 0.9223 0.0777 0.7500  2 Tl 3.08

version 1 wins, 86 meV/atom ahead of the next structure.

Version 1
The following is a DFT calculation (PBE) of a relaxed structure of Ba6TlIn.

Values from the calculation:
**DOS at the Fermi energy**: 19.00 states/eV/cell
**SG**: I4/mmm, No. 139
**Calculated density**: 4.57 g cm⁻³
**M_tot**: 0.0001 μB/atom

Cell lengths 6.1307, 6.1307, 22.0938 Å; angles 90.00, 90.00, 90.00 degrees
Closest atoms and distances in Å follow each position.
Element x y z (fractional)
Ba 0.0000 0.0000 0.2504  12 Ba 4.34-4.66
Ba 0.0000 0.0000 0.7496  12 Ba 4.34-4.66
Ba 0.0000 0.5000 0.0916  2 In 3.67, 2 Tl 3.67, 1 Ba 4.05
Ba 0.0000 0.5000 0.4084  2 Tl 3.67, 2 In 3.67, 1 Ba 4.05
Ba 0.0000 0.5000 0.5916  2 Tl 3.67, 2 In 3.67, 1 Ba 4.05
Ba 0.0000 0.5000 0.9084  2 In 3.67, 2 Tl 3.67, 1 Ba 4.05
Ba 0.5000 0.0000 0.0916  2 In 3.67, 2 Tl 3.67, 1 Ba 4.05
Ba 0.5000 0.0000 0.4084  2 Tl 3.67, 2 In 3.67, 1 Ba 4.05
Ba 0.5000 0.0000 0.5916  2 Tl 3.67, 2 In 3.67, 1 Ba 4.05
Ba 0.5000 0.0000 0.9084  2 In 3.67, 2 Tl 3.67, 1 Ba 4.05
Ba 0.5000 0.5000 0.2496  12 Ba 4.34-4.66
Ba 0.5000 0.5000 0.7504  12 Ba 4.34-4.66
Tl 0.0000 0.0000 0.0000  8 Ba 3.67
Tl 0.5000 0.5000 0.5000  8 Ba 3.67
In 0.0000 0.0000 0.5000  8 Ba 3.67
In 0.5000 0.5000 0.0000  8 Ba 3.67

Version 2
The following is a DFT calculation (PBE) of a relaxed structure of Ba6TlIn.

Values from the calculation:
**DOS at the Fermi energy**: 11.24 states/eV/cell
**SG**: R-3, No. 148
**Calculated density**: 3.87 g cm⁻³
**M_tot**: 0.1455 μB/atom

Cell lengths 9.3760, 9.3760, 9.3760 Å; angles 53.20, 53.20, 53.20 degrees
Closest atoms and distances in Å follow each position.
Element x y z (fractional)
Ba 0.0729 0.7499 0.4270  1 In 3.48, 1 Tl 3.48
Ba 0.2501 0.5730 0.9271  1 In 3.48, 1 Tl 3.48
Ba 0.4270 0.0729 0.7499  1 In 3.48, 1 Tl 3.48
Ba 0.5730 0.9271 0.2501  1 In 3.48, 1 Tl 3.48
Ba 0.7499 0.4270 0.0729  1 In 3.48, 1 Tl 3.48
Ba 0.9271 0.2501 0.5730  1 In 3.48, 1 Tl 3.48
Tl 0.5000 0.5000 0.5000  6 Ba 3.48
In 0.0000 0.0000 0.0000  6 Ba 3.48

version 1 wins, 123 meV/atom ahead of the next structure.

Version 1
The following is a DFT calculation (PBE) of a relaxed structure of Ba2Tl4In3.

Values from the calculation:
**DOS at the Fermi energy**: 11.01 states/eV/cell
**SG**: Cmce, No. 64
**Calculated density**: 8.11 g cm⁻³
**M_tot**: 0.0000 μB/atom

Cell lengths 9.6708, 9.6708, 9.3803 Å; angles 90.00, 90.00, 137.92 degrees
Closest atoms and distances in Å follow each position.
Element x y z (fractional)
Ba 0.1125 0.8875 0.9127  8 Tl 3.72-3.91, 6 In 3.75-4.13
Ba 0.3875 0.6125 0.4127  8 Tl 3.72-3.91, 6 In 3.75-4.13
Ba 0.6125 0.3875 0.5873  8 Tl 3.72-3.91, 6 In 3.75-4.13
Ba 0.8875 0.1125 0.0873  8 Tl 3.72-3.91, 6 In 3.75-4.13
Tl 0.1792 0.8208 0.5271  5 In 3.23-3.24
Tl 0.1937 0.3063 0.7500  3 In 3.02-3.09
Tl 0.3063 0.1937 0.2500  3 In 3.02-3.09
Tl 0.3208 0.6792 0.0271  5 In 3.23-3.24
Tl 0.6792 0.3208 0.9729  5 In 3.23-3.24
Tl 0.6937 0.8063 0.7500  3 In 3.02-3.09
Tl 0.8063 0.6937 0.2500  3 In 3.02-3.09
Tl 0.8208 0.1792 0.4729  5 In 3.23-3.24
In 0.0000 0.0000 0.5000  6 Tl 3.09-3.24
In 0.0264 0.4736 0.7500  5 Tl 3.02-3.24
In 0.4736 0.0264 0.2500  5 Tl 3.02-3.24
In 0.5000 0.5000 0.0000  6 Tl 3.09-3.24
In 0.5264 0.9736 0.7500  5 Tl 3.02-3.24
In 0.9736 0.5264 0.2500  5 Tl 3.02-3.24

Version 2
The following is a DFT calculation (PBE) of a relaxed structure of Ba2Tl4In3.

Values from the calculation:
**DOS at the Fermi energy**: 3.90 states/eV/cell
**SG**: Fmmm, No. 69
**Calculated density**: 8.21 g cm⁻³
**M_tot**: 0.0000 μB/atom

Cell lengths 9.9550, 8.8795, 6.3632 Å; angles 79.69, 61.35, 38.97 degrees
Closest atoms and distances in Å follow each position.
Element x y z (fractional)
Ba 0.1256 0.1256 0.8744  8 Tl 3.73-3.81, 6 In 3.80, 1 Ba 4.17
Ba 0.8744 0.8744 0.1256  8 Tl 3.73-3.81, 6 In 3.80, 1 Ba 4.17
Tl 0.1653 0.4913 0.5087  2 Tl 3.23-3.59, 3 In 3.37-3.40
Tl 0.4913 0.1653 0.8347  2 Tl 3.23-3.59, 3 In 3.37-3.40
Tl 0.5087 0.8347 0.1653  2 Tl 3.23-3.59, 3 In 3.37-3.40
Tl 0.8347 0.5087 0.4913  2 Tl 3.23-3.59, 3 In 3.37-3.40
In 0.0000 0.0000 0.5000  4 In 3.18, 4 Tl 3.40
In 0.5000 0.5000 0.0000  4 In 3.18, 4 Tl 3.40
In 0.5000 0.5000 0.5000  4 In 3.18, 4 Tl 3.37

version 2 wins, 21 meV/atom ahead of the next structure.

Version 1
The following is a DFT calculation (PBE) of a relaxed structure of Ba4TlIn.

Values from the calculation:
**DOS at the Fermi energy**: 6.50 states/eV/cell
**SG**: P4/mmm, No. 123
**Calculated density**: 4.68 g cm⁻³
**M_tot**: 0.0000 μB/atom

Cell lengths 6.0163, 6.0163, 8.5074 Å; angles 90.00, 90.00, 90.00 degrees
Closest atoms and distances in Å follow each position.
Element x y z (fractional)
Ba 0.0000 0.5000 0.2502  2 In 3.68, 2 Tl 3.69
Ba 0.0000 0.5000 0.7498  2 In 3.68, 2 Tl 3.69
Ba 0.5000 0.0000 0.2502  2 In 3.68, 2 Tl 3.69
Ba 0.5000 0.0000 0.7498  2 In 3.68, 2 Tl 3.69
Tl 0.0000 0.0000 0.0000  8 Ba 3.69
In 0.5000 0.5000 0.5000  8 Ba 3.68

Version 2
The following is a DFT calculation (PBE) of a relaxed structure of Ba4TlIn.

Values from the calculation:
**DOS at the Fermi energy**: 8.61 states/eV/cell
**SG**: F-43m, No. 216
**Calculated density**: 5.20 g cm⁻³
**M_tot**: 0.0002 μB/atom

Cell lengths 7.3203, 7.3203, 7.3203 Å; angles 60.00, 60.00, 60.00 degrees
Closest atoms and distances in Å follow each position.
Element x y z (fractional)
Ba 0.1248 0.1248 0.1248  6 Ba 3.65-3.67
Ba 0.1248 0.1248 0.6256  6 Ba 3.65-3.67
Ba 0.1248 0.6256 0.1248  6 Ba 3.65-3.67
Ba 0.6256 0.1248 0.1248  6 Ba 3.65-3.67
Tl 0.5000 0.5000 0.5000  12 Ba 4.29, 4 In 4.48
In 0.7500 0.7500 0.7500  12 Ba 4.29, 4 Tl 4.48

version 1 wins, 477 meV/atom ahead of the next structure.